# 1
Compound: PmErCdAg
Source: the Alexandria database
Functional: PBE
Structure: optimized geometry

Lattice parameters (Å, degrees): 3.6990 3.6990 7.5142 90.00 90.00 90.00
With the nearest neighbours (Å) after each atom.
Space group P4mm (No. 99)
Inequivalent atoms, fractional coordinates:
1 Pm 0.0000 0.0000 0.0000  4 Ag 3.28, 4 Cd 3.31, 1 Er 3.64
2 Er 0.0000 0.0000 0.4838  4 Ag 3.09, 4 Cd 3.20
3 Cd 0.5000 0.5000 0.7300  4 Er 3.20, 4 Pm 3.31, 1 Ag 3.50
4 Ag 0.5000 0.5000 0.2638  4 Er 3.09, 4 Pm 3.28

Its formation energy is -0.304 eV/atom. For the density of states at the Fermi level, the calculation gives 3.8 states/eV per cell. The total DFT energy (no corrections) comes out at -3.574 eV/atom.

***

# 2
Compound: Nd2Al4ZnIr3
Source: the Alexandria database
Functional: PBE
Structure: optimized geometry

Lattice parameters (Å, degrees): 4.1878 4.1878 10.7921 90.00 90.00 90.00
With the nearest neighbours (Å) after each atom.
Space group P-4m2 (No. 115)
Inequivalent atoms, fractional coordinates:
1 Nd 0.0000 0.5000 0.2467  6 Ir 3.21-3.44, 8 Al 3.24-3.39, 2 Zn 3.44
2 Al 0.0000 0.0000 0.0000  4 Ir 2.54
3 Al 0.0000 0.5000 0.6323  3 Ir 2.53, 2 Zn 2.53
4 Al 0.5000 0.5000 0.0000  4 Ir 2.54
5 Zn 0.0000 0.0000 0.5000  4 Al 2.53
6 Ir 0.0000 0.5000 0.8672  5 Al 2.53-2.54
7 Ir 0.5000 0.5000 0.5000  4 Al 2.53

Its formation energy is -0.729 eV/atom. For the density of states at the Fermi level, the calculation gives 7.1 states/eV per cell. The total DFT energy (no corrections) comes out at -5.965 eV/atom.

***

# 3
Compound: LiSi2P2
Source: the Alexandria database
Functional: PBE
Structure: optimized geometry

Lattice parameters (Å, degrees): 4.5639 4.5639 7.8164 90.00 90.00 90.00
With the nearest neighbours (Å) after each atom.
Space group I4/mmm (No. 139)
Inequivalent atoms, fractional coordinates:
1 Li 0.0000 0.0000 0.0000  2 Si 2.71, 8 P 3.00
2 Si 0.0000 0.0000 0.3462  4 P 2.40, 1 Si 2.40
3 P 0.0000 0.5000 0.2500  4 Si 2.40

For the density of states at the Fermi level, the calculation gives 1.4 states/eV per cell. The total DFT energy (no corrections) comes out at -4.843 eV/atom. Its formation energy from raw total energies is -127 meV per atom.

***

# 4
Compound: Ba4GeAs4
Source: the Alexandria database
Functional: PBE
Structure: optimized geometry

Lattice parameters (Å, degrees): 9.5025 9.5025 6.9177 90.00 90.00 90.00
With the nearest neighbours (Å) after each atom.
Space group P4_2/nmc (No. 137, origin choice 2)
Inequivalent atoms, fractional coordinates:
1 Ba 0.0165 0.2500 0.0639  1 Ge 3.34, 6 As 3.39-3.58
2 Ge 0.2500 0.7500 0.2500  4 As 2.53
3 As 0.0272 0.7500 0.4497  1 Ge 2.53

Its formation energy is -0.951 eV/atom. For the density of states at the Fermi level, the calculation gives 0.9 states/eV per cell. The total DFT energy (no corrections) comes out at -4.385 eV/atom.

***

# 5
Compound: Sc3SnTe
Source: the Alexandria database
Functional: PBE
Structure: optimized geometry

Lattice parameters (Å, degrees): 5.2608 5.2608 5.2608 90.00 90.00 90.00
With the nearest neighbours (Å) after each atom.
Space group Pm-3m (No. 221)
Inequivalent atoms, fractional coordinates:
1 Sc 0.0000 0.0000 0.5000  2 Te 2.63
2 Sn 0.5000 0.5000 0.5000  12 Sc 3.72
3 Te 0.0000 0.0000 0.0000  6 Sc 2.63

For the density of states at the Fermi level, the calculation gives 9.2 states/eV per cell. The total DFT energy (no corrections) comes out at -5.320 eV/atom. Its formation energy from raw total energies is -92 meV per atom.

***

# 6
Compound: Cs2PbAu2I6
Source: the Alexandria database
Functional: PBE
Structure: optimized geometry

Lattice parameters (Å, degrees): 14.5630 8.9635 9.6776 90.00 121.02 90.00
With the nearest neighbours (Å) after each atom.
Space group C2/m (No. 12)
Inequivalent atoms, fractional coordinates:
1 Cs 0.2323 0.0000 0.2440  5 I 3.82-4.23, 1 Au 3.97
2 Pb 0.0000 0.0000 0.5000  6 I 3.20-3.30
3 Au 0.0011 0.5000 0.7728  2 I 2.61
4 I 0.0414 0.2143 0.8040  1 Au 2.61
5 I 0.2459 0.5000 0.3450  1 Au 3.16, 1 Pb 3.20

For the density of states at the Fermi level, the calculation gives 0.0 states/eV per cell. The total DFT energy (no corrections) comes out at -2.663 eV/atom. Its formation energy from raw total energies is -729 meV per atom.

***

# 7
Compound: NiPb2Se
Source: the Alexandria database
Functional: PBE
Structure: optimized geometry

Lattice parameters (Å, degrees): 7.2390 7.2390 7.2390 90.00 90.00 90.00
With the nearest neighbours (Å) after each atom.
Space group F-43m (No. 216)
Inequivalent atoms, fractional coordinates:
1 Ni 0.0000 0.0000 0.0000  4 Pb 3.13, 4 Se 3.13
2 Pb 0.0000 0.0000 0.5000  4 Se 3.13, 4 Pb 3.13
3 Pb 0.2500 0.2500 0.7500  4 Pb 3.13, 4 Ni 3.13
4 Se 0.2500 0.2500 0.2500  4 Pb 3.13, 4 Ni 3.13

For the density of states at the Fermi level, the calculation gives 13.2 states/eV per cell. The total DFT energy (no corrections) comes out at -3.772 eV/atom. Its formation energy from raw total energies is 399 meV per atom.

***

# 8
Compound: RbCo2As
Source: the Alexandria database
Functional: PBE
Structure: optimized geometry

Lattice parameters (Å, degrees): 4.9812 4.9812 15.7426 90.00 90.00 90.00
With the nearest neighbours (Å) after each atom.
Space group I4_1/amd (No. 141, origin choice 2)
Inequivalent atoms, fractional coordinates:
1 Rb 0.0000 0.2500 0.3750  8 Co 3.41, 4 As 3.52
2 Co 0.0000 0.0000 0.0000  2 As 2.33, 2 Co 2.49
3 As 0.0000 0.2500 0.8750  4 Co 2.33

Its formation energy is 0.386 eV/atom. For the density of states at the Fermi level, the calculation gives 20.0 states/eV per cell. The total DFT energy (no corrections) comes out at -4.571 eV/atom.